Entry 1:
DFT (PBE-GGA) results for a geometry-optimized ZnBPd3 structure.

Properties
space-group type = Cmmm

a b c (Å): 3.086 6.932 6.932
angles (deg): 71.20 90.00 90.00
Element x y z (fractional)
B 0.363 0.194 0.746
Zn 0.863 0.194 0.246
Pd 0.363 0.383 0.436
Pd 0.863 0.026 0.665
B 0.363 0.694 0.246
Zn 0.363 0.694 0.746
Pd 0.863 0.776 0.414
Pd 0.863 0.362 0.828
Pd 0.363 0.005 0.057
Pd 0.863 0.613 0.079


Entry 2:
DFT (PBE-GGA) results for a geometry-optimized Zr3BPd structure.

Properties
space-group type = Pm-3m

a b c (Å): 4.587 4.587 4.587
angles (deg): 90.00 90.00 90.00
Element x y z (fractional)
Zr 0.500 0.000 0.000
Zr 0.000 0.000 0.500
Zr 0.000 0.500 0.000
B 0.000 0.000 0.000
Pd 0.500 0.500 0.500


| no. | energy relative to the elements (kcal/mol of atoms) |
| --- | --- |
| 1 | -7.50 |
| 2 | -5.15 |